Material: UTlBi2
Method: DFT, PBE-GGA
State: relaxed

The structure in POSCAR format:
```
UTlBi2
1.0
4.1687 0.0000 0.0000
0.0000 4.1687 0.0000
0.0000 0.0000 6.8599
U Tl Bi
1 1 2
Direct
0.0000 0.0000 0.0000 U
0.0000 0.0000 0.5000 Tl
0.5000 0.5000 0.2315 Bi
0.5000 0.5000 0.7685 Bi
```

volume: 119 Å³/cell
distance to the lowest polymorph of the same formula: 0 meV/atom
DFT formation energy: 0.87 kcal/mol of atoms
space-group type: P4/mmm, No. 123